# NaTeRhO6 PBE optimized geometry
data_NaTeRhO6
_chemical_formula_sum 'Na2 Te2 Rh2 O12'
_cell_length_a 5.2355
_cell_length_b 5.2355
_cell_length_c 10.4646
_cell_angle_alpha 90.00
_cell_angle_beta 90.00
_cell_angle_gamma 120.00
_symmetry_space_group_name_H-M 'P -3 1 c'
_symmetry_Int_Tables_number 163
_symmetry_space_group_name_Hall '-P 3 2c'
loop_
_atom_site_label
_atom_site_fract_x
_atom_site_fract_y
_atom_site_fract_z
Na1 0.0000 0.0000 0.0000
Te1 0.3333 0.6667 0.2500
Rh1 0.3333 0.6667 0.7500
O1 0.0021 0.3711 0.1464
# Total magnetization = 2.05 μB/f.u.
# Crystal system = trigonal
# Uncorrected formation energy = -0.973 eV/atom